(1)
AcThNi2 after structural relaxation. Source: the Alexandria database, functional PBE.

**Calculated volume**: 23.4 Å³ per atom
**Formation enthalpy at 0 K**: -0.250 eV/atom

Lattice parameters (Å, degrees): 3.5981 3.5981 7.2226 90.00 90.00 90.00
With the nearest neighbours (Å) after each atom.
Space group P4/mmm (No. 123)
Symmetry-distinct sites (fractional):
Ac 0.0000 0.0000 0.0000 (multiplicity 1)  8 Ni 3.37, 4 Ac 3.60, 2 Th 3.61
Th 0.0000 0.0000 0.5000 (multiplicity 1)  8 Ni 2.91
Ni 0.5000 0.5000 0.3051 (multiplicity 2)  1 Ni 2.82, 4 Th 2.91

(2)
AcTh2Ni after structural relaxation. Source: the Alexandria database, functional PBE.

**Calculated volume**: 29.1 Å³ per atom
**Formation enthalpy at 0 K**: -0.049 eV/atom

Lattice parameters (Å, degrees): 3.6154 3.6154 8.9189 90.00 90.00 90.00
With the nearest neighbours (Å) after each atom.
Space group P4/mmm (No. 123)
Symmetry-distinct sites (fractional):
Ac 0.0000 0.0000 0.0000 (multiplicity 1)  4 Ac 3.62, 8 Th 3.84
Th 0.5000 0.5000 0.3211 (multiplicity 2)  4 Ni 3.01, 1 Th 3.19
Ni 0.0000 0.0000 0.5000 (multiplicity 1)  8 Th 3.01